[1]
# ReRuN3 | Alexandria via LeMat-Bulk | PBE-GGA | relaxed
data_ReRuN3
_symmetry_space_group_name_H-M 'P 1'
_symmetry_Int_Tables_number 1
_cell_length_a 3.8751
_cell_length_b 3.8751
_cell_length_c 3.8751
_cell_angle_alpha 90.00
_cell_angle_beta 90.00
_cell_angle_gamma 90.00
loop_
_symmetry_equiv_pos_as_xyz
'x,y,z'
loop_
_atom_site_label
_atom_site_type_symbol
_atom_site_fract_x
_atom_site_fract_y
_atom_site_fract_z
N1 N 0.0000 0.5000 0.0000
Ru1 Ru 0.5000 0.5000 0.5000
N2 N 0.0000 0.0000 0.5000
Re1 Re 0.0000 0.0000 0.0000
N3 N 0.5000 0.0000 0.0000
# SG   Pm-3m
# Uncorrected formation energy   1.201 eV per atom



[2]
# ReRu2SN | Alexandria via LeMat-Bulk | PBE-GGA | relaxed
data_ReRu2SN
_symmetry_space_group_name_H-M 'P 1'
_symmetry_Int_Tables_number 1
_cell_length_a 4.6680
_cell_length_b 3.1572
_cell_length_c 4.6680
_cell_angle_alpha 90.00
_cell_angle_beta 90.00
_cell_angle_gamma 90.00
loop_
_symmetry_equiv_pos_as_xyz
'x,y,z'
loop_
_atom_site_label
_atom_site_type_symbol
_atom_site_fract_x
_atom_site_fract_y
_atom_site_fract_z
Ru1 Ru 0.0000 0.0000 0.5000
Ru2 Ru 0.5000 0.0000 0.0000
Re1 Re 0.5000 0.5000 0.5000
S1 S 0.0000 0.0000 0.0000
N1 N 0.0000 0.5000 0.0000
# SG   P4/mmm
# Uncorrected formation energy   1.556 eV per atom



[3]
# SrReRu2N | Alexandria via LeMat-Bulk | PBE-GGA | relaxed
data_SrReRu2N
_symmetry_space_group_name_H-M 'P 1'
_symmetry_Int_Tables_number 1
_cell_length_a 4.5929
_cell_length_b 6.2593
_cell_length_c 4.5929
_cell_angle_alpha 90.00
_cell_angle_beta 90.00
_cell_angle_gamma 90.00
loop_
_symmetry_equiv_pos_as_xyz
'x,y,z'
loop_
_atom_site_label
_atom_site_type_symbol
_atom_site_fract_x
_atom_site_fract_y
_atom_site_fract_z
Ru1 Ru 0.0000 0.0000 0.5000
Re1 Re 0.0000 0.0000 0.0000
N1 N 0.5000 0.5000 0.5000
Ru2 Ru 0.5000 0.0000 0.0000
Sr1 Sr 0.0000 0.5000 0.0000
# Energy above the most stable polymorph in this dataset   1.099 eV/atom
# SG   P4/mmm
# Uncorrected formation energy   1.959 eV per atom



[4]
# SrReRu2N | Alexandria via LeMat-Bulk | PBE-GGA | relaxed
data_SrReRu2N
_symmetry_space_group_name_H-M 'P 1'
_symmetry_Int_Tables_number 1
_cell_length_a 4.0575
_cell_length_b 4.7629
_cell_length_c 4.0575
_cell_angle_alpha 90.00
_cell_angle_beta 90.00
_cell_angle_gamma 90.00
loop_
_symmetry_equiv_pos_as_xyz
'x,y,z'
loop_
_atom_site_label
_atom_site_type_symbol
_atom_site_fract_x
_atom_site_fract_y
_atom_site_fract_z
Ru1 Ru 0.0000 0.0000 0.5000
Re1 Re 0.5000 0.5000 0.5000
Sr1 Sr 0.0000 0.5000 0.0000
Ru2 Ru 0.5000 0.0000 0.0000
N1 N 0.0000 0.0000 0.0000
# Energy above the most stable polymorph in this dataset   0.000 eV/atom
# SG   P4/mmm
# Uncorrected formation energy   0.860 eV per atom



[5]
# TaReRuN2 | Alexandria via LeMat-Bulk | PBE-GGA | relaxed
data_TaReRuN2
_symmetry_space_group_name_H-M 'P 1'
_symmetry_Int_Tables_number 1
_cell_length_a 3.7373
_cell_length_b 5.7210
_cell_length_c 3.7373
_cell_angle_alpha 90.00
_cell_angle_beta 90.00
_cell_angle_gamma 90.00
loop_
_symmetry_equiv_pos_as_xyz
'x,y,z'
loop_
_atom_site_label
_atom_site_type_symbol
_atom_site_fract_x
_atom_site_fract_y
_atom_site_fract_z
N1 N 0.5000 0.0000 0.0000
Ru1 Ru 0.0000 0.0000 0.0000
Ta1 Ta 0.0000 0.5000 0.0000
Re1 Re 0.5000 0.5000 0.5000
N2 N 0.0000 0.0000 0.5000
# SG   P4/mmm
# Uncorrected formation energy   1.566 eV per atom



[6]
# ReTc2RuN | Alexandria via LeMat-Bulk | PBE-GGA | relaxed
data_ReTc2RuN
_symmetry_space_group_name_H-M 'P 1'
_symmetry_Int_Tables_number 1
_cell_length_a 4.0292
_cell_length_b 4.0292
_cell_length_c 4.0285
_cell_angle_alpha 90.00
_cell_angle_beta 90.00
_cell_angle_gamma 90.00
loop_
_symmetry_equiv_pos_as_xyz
'x,y,z'
loop_
_atom_site_label
_atom_site_type_symbol
_atom_site_fract_x
_atom_site_fract_y
_atom_site_fract_z
Tc1 Tc 0.5000 0.0000 0.0000
Re1 Re 0.0000 0.0000 0.5000
Ru1 Ru 0.5000 0.5000 0.5000
N1 N 0.0000 0.0000 0.0000
Tc2 Tc 0.0000 0.5000 0.0000
# SG   P4/mmm
# Uncorrected formation energy   0.130 eV per atom



[7]
# ReTe2RuN | Alexandria via LeMat-Bulk | PBE-GGA | relaxed
data_ReTe2RuN
_symmetry_space_group_name_H-M 'P 1'
_symmetry_Int_Tables_number 1
_cell_length_a 5.3175
_cell_length_b 5.3175
_cell_length_c 3.6000
_cell_angle_alpha 90.00
_cell_angle_beta 90.00
_cell_angle_gamma 90.00
loop_
_symmetry_equiv_pos_as_xyz
'x,y,z'
loop_
_atom_site_label
_atom_site_type_symbol
_atom_site_fract_x
_atom_site_fract_y
_atom_site_fract_z
Te1 Te 0.5000 0.0000 0.0000
Re1 Re 0.5000 0.5000 0.5000
N1 N 0.0000 0.0000 0.5000
Ru1 Ru 0.0000 0.0000 0.0000
Te2 Te 0.0000 0.5000 0.0000
# Energy above the most stable polymorph in this dataset   0.180 eV/atom
# SG   P4/mmm
# Uncorrected formation energy   1.034 eV per atom



[8]
# ReTeRu2N | Alexandria via LeMat-Bulk | PBE-GGA | relaxed
data_ReTeRu2N
_symmetry_space_group_name_H-M 'P 1'
_symmetry_Int_Tables_number 1
_cell_length_a 4.8640
_cell_length_b 4.9754
_cell_length_c 4.8640
_cell_angle_alpha 90.00
_cell_angle_beta 90.00
_cell_angle_gamma 90.00
loop_
_symmetry_equiv_pos_as_xyz
'x,y,z'
loop_
_atom_site_label
_atom_site_type_symbol
_atom_site_fract_x
_atom_site_fract_y
_atom_site_fract_z
Re1 Re 0.0000 0.5000 0.0000
Te1 Te 0.0000 0.0000 0.0000
Ru1 Ru 0.0000 0.0000 0.5000
N1 N 0.5000 0.5000 0.5000
Ru2 Ru 0.5000 0.0000 0.0000
# SG   P4/mmm
# Uncorrected formation energy   3.049 eV per atom



[9]
# ReTe2RuN | Alexandria via LeMat-Bulk | PBE-GGA | relaxed
data_ReTe2RuN
_symmetry_space_group_name_H-M 'P 1'
_symmetry_Int_Tables_number 1
_cell_length_a 5.3245
_cell_length_b 5.3245
_cell_length_c 3.6841
_cell_angle_alpha 90.00
_cell_angle_beta 90.00
_cell_angle_gamma 90.00
loop_
_symmetry_equiv_pos_as_xyz
'x,y,z'
loop_
_atom_site_label
_atom_site_type_symbol
_atom_site_fract_x
_atom_site_fract_y
_atom_site_fract_z
Ru1 Ru 0.5000 0.5000 0.5000
Te1 Te 0.0000 0.5000 0.0000
N1 N 0.0000 0.0000 0.5000
Re1 Re 0.0000 0.0000 0.0000
Te2 Te 0.5000 0.0000 0.0000
# Energy above the most stable polymorph in this dataset   0.000 eV/atom
# SG   P4/mmm
# Uncorrected formation energy   0.854 eV per atom



[10]
# ReTeRuN2 | Alexandria via LeMat-Bulk | PBE-GGA | relaxed
data_ReTeRuN2
_symmetry_space_group_name_H-M 'P 1'
_symmetry_Int_Tables_number 1
_cell_length_a 3.8355
_cell_length_b 3.8355
_cell_length_c 5.8475
_cell_angle_alpha 90.00
_cell_angle_beta 90.00
_cell_angle_gamma 90.00
loop_
_symmetry_equiv_pos_as_xyz
'x,y,z'
loop_
_atom_site_label
_atom_site_type_symbol
_atom_site_fract_x
_atom_site_fract_y
_atom_site_fract_z
Re1 Re 0.5000 0.5000 0.5000
N1 N 0.0000 0.5000 0.0000
Te1 Te 0.0000 0.0000 0.5000
N2 N 0.5000 0.0000 0.0000
Ru1 Ru 0.0000 0.0000 0.0000
# Energy above the most stable polymorph in this dataset   0.624 eV/atom
# SG   P4/mmm
# Uncorrected formation energy   1.524 eV per atom



[11]
# ReTeRuN2 | Alexandria via LeMat-Bulk | PBE-GGA | relaxed
data_ReTeRuN2
_symmetry_space_group_name_H-M 'P 1'
_symmetry_Int_Tables_number 1
_cell_length_a 3.8263
_cell_length_b 3.8263
_cell_length_c 5.9110
_cell_angle_alpha 90.00
_cell_angle_beta 90.00
_cell_angle_gamma 90.00
loop_
_symmetry_equiv_pos_as_xyz
'x,y,z'
loop_
_atom_site_label
_atom_site_type_symbol
_atom_site_fract_x
_atom_site_fract_y
_atom_site_fract_z
N1 N 0.5000 0.0000 0.0000
N2 N 0.0000 0.5000 0.0000
Ru1 Ru 0.5000 0.5000 0.5000
Te1 Te 0.0000 0.0000 0.5000
Re1 Re 0.0000 0.0000 0.0000
# Energy above the most stable polymorph in this dataset   0.000 eV/atom
# SG   P4/mmm
# Uncorrected formation energy   0.900 eV per atom



[12]
# Th2ReRuN6 | Alexandria via LeMat-Bulk | PBE-GGA | relaxed
data_Th2ReRuN6
_symmetry_space_group_name_H-M 'P 1'
_symmetry_Int_Tables_number 1
_cell_length_a 5.5525
_cell_length_b 5.7103
_cell_length_c 7.8494
_cell_angle_alpha 90.00
_cell_angle_beta 90.06
_cell_angle_gamma 90.00
loop_
_symmetry_equiv_pos_as_xyz
'x,y,z'
loop_
_atom_site_label
_atom_site_type_symbol
_atom_site_fract_x
_atom_site_fract_y
_atom_site_fract_z
N1 N 0.7023 0.3034 0.9583
N2 N 0.9186 0.5203 0.2459
N3 N 0.2977 0.6966 0.0417
N4 N 0.6940 0.2924 0.5453
Ru1 Ru 0.0000 0.5000 0.5000
N5 N 0.2023 0.1966 0.4583
N6 N 0.0814 0.4797 0.7541
Th1 Th 0.0075 0.9478 0.2507
Re1 Re 0.0000 0.5000 0.0000
N7 N 0.8060 0.7924 0.9547
N8 N 0.5814 0.0203 0.2541
N9 N 0.1940 0.2076 0.0453
Th2 Th 0.4925 0.4478 0.2493
Th3 Th 0.9925 0.0522 0.7493
Th4 Th 0.5075 0.5522 0.7507
N10 N 0.4186 0.9797 0.7459
N11 N 0.3060 0.7076 0.4547
Re2 Re 0.5000 0.0000 0.5000
N12 N 0.7977 0.8034 0.5417
Ru2 Ru 0.5000 0.0000 0.0000
# SG   P2_1/c
# Uncorrected formation energy   -0.724 eV per atom